Entry 1:
A plane-wave DFT calculation with GGA-PBE was carried out for a geometry-optimized PuZn13 structure.

POSCAR file:
```
PuZn13
1.0
7.452 0.000 4.303
2.484 7.026 4.303
0.000 0.000 8.605
Zn Pu
26 2
Direct
0.801 0.558 0.442 Zn
0.199 0.442 0.558 Zn
0.058 0.942 0.699 Zn
0.442 0.558 0.199 Zn
0.058 0.699 0.301 Zn
0.500 0.500 0.500 Zn
0.301 0.058 0.699 Zn
0.942 0.301 0.699 Zn
0.058 0.301 0.942 Zn
0.942 0.058 0.301 Zn
0.558 0.199 0.442 Zn
0.199 0.558 0.801 Zn
0.442 0.801 0.558 Zn
0.699 0.301 0.058 Zn
0.000 0.000 0.000 Zn
0.942 0.699 0.058 Zn
0.199 0.801 0.442 Zn
0.558 0.442 0.801 Zn
0.442 0.199 0.801 Zn
0.699 0.058 0.942 Zn
0.699 0.942 0.301 Zn
0.801 0.199 0.558 Zn
0.301 0.942 0.058 Zn
0.558 0.801 0.199 Zn
0.301 0.699 0.942 Zn
0.801 0.442 0.199 Zn
0.750 0.750 0.750 Pu
0.250 0.250 0.250 Pu
```

## Properties
Formation energy from the elements ... -86 meV per atom
SG ... No. 226

Entry 2:
A plane-wave DFT calculation with GGA-PBE was carried out for a geometry-optimized PmErAu structure.

POSCAR file:
```
PmErAu
1.0
-1.022 1.612 -3.425
1.107 -7.432 -3.828
-7.539 2.014 3.198
Er Au Pm
3 3 3
Direct
0.000 0.000 0.263 Er
0.000 0.263 0.000 Er
0.000 0.737 0.737 Er
0.000 0.667 0.333 Au
0.000 0.333 0.667 Au
0.500 0.000 0.000 Au
0.500 0.599 0.000 Pm
0.500 0.000 0.599 Pm
0.500 0.401 0.401 Pm
```

## Properties
Distance to the lowest polymorph of the same formula ... 20.6 meV/atom
Formation energy from the elements ... -506 meV per atom
SG ... No. 189

Entry 3:
A plane-wave DFT calculation with GGA-PBE was carried out for a geometry-optimized Zr3PaRu4 structure.

POSCAR file:
```
Zr3PaRu4
1.0
-0.603 -3.180 0.809
1.526 -1.358 -4.201
8.696 -0.781 3.411
Ru Zr Pa
4 3 1
Direct
0.000 0.500 0.253 Ru
0.000 0.500 0.747 Ru
0.000 0.000 0.500 Ru
0.000 0.000 0.000 Ru
0.500 0.500 0.500 Zr
0.500 0.000 0.260 Zr
0.500 0.000 0.740 Zr
0.500 0.500 0.000 Pa
```

## Properties
Formation energy from the elements ... -549 meV per atom
SG ... No. 47

Entry 4:
A plane-wave DFT calculation with GGA-PBE was carried out for a geometry-optimized BaErBi2 structure.

POSCAR file:
```
BaErBi2
1.0
4.752 0.000 0.000
2.376 4.115 0.000
2.376 1.372 7.812
Er Bi Ba
1 2 1
Direct
0.000 0.000 0.000 Er
0.735 0.735 0.795 Bi
0.265 0.265 0.205 Bi
0.500 0.500 0.500 Ba
```

## Properties
Distance to the lowest polymorph of the same formula ... 0.0 meV/atom
Formation energy from the elements ... -749 meV per atom
SG ... No. 166

Entry 5:
A plane-wave DFT calculation with GGA-PBE was carried out for a geometry-optimized LiReRh2O structure.

POSCAR file:
```
LiReRh2O
1.0
-0.524 -4.659 -1.270
1.172 0.814 -3.469
4.584 -0.881 1.341
O Rh Re Li
1 2 1 1
Direct
0.000 0.500 0.000 O
0.000 0.000 0.500 Rh
0.500 0.000 0.000 Rh
0.000 0.000 0.000 Re
0.500 0.500 0.500 Li
```

## Properties
Uncorrected formation energy ... 0.2357 eV per atom
SG ... No. 123

Entry 6:
A plane-wave DFT calculation with GGA-PBE was carried out for a geometry-optimized Fe2AgI8 structure.

POSCAR file:
```
Fe2AgI8
1.0
6.929 0.340 0.258
0.589 8.488 -1.226
0.589 1.105 8.505
I Ag Fe
8 1 2
Direct
0.209 0.418 0.418 I
0.688 0.213 0.213 I
0.791 0.582 0.582 I
0.312 0.787 0.787 I
0.785 0.056 0.714 I
0.785 0.714 0.056 I
0.215 0.286 0.944 I
0.215 0.944 0.286 I
0.000 0.000 0.000 Ag
0.675 0.793 0.793 Fe
0.325 0.207 0.207 Fe
```

## Properties
Uncorrected formation energy ... -0.1341 eV per atom
SG ... No. 12

Entry 7:
A plane-wave DFT calculation with GGA-PBE was carried out for a geometry-optimized Y2InHg9 structure.

POSCAR file:
```
Y2InHg9
1.0
4.720 0.000 0.000
0.000 4.720 0.000
0.000 0.000 13.323
Hg Y In
9 2 1
Direct
0.500 0.000 0.833 Hg
0.500 0.000 0.167 Hg
0.500 0.000 0.500 Hg
0.500 0.500 0.662 Hg
0.000 0.500 0.500 Hg
0.000 0.500 0.833 Hg
0.500 0.500 0.000 Hg
0.000 0.500 0.167 Hg
0.500 0.500 0.338 Hg
0.000 0.000 0.328 Y
0.000 0.000 0.672 Y
0.000 0.000 0.000 In
```

## Properties
Formation energy from the elements ... -217 meV per atom
SG ... No. 123

Entry 8:
A plane-wave DFT calculation with GGA-PBE was carried out for a geometry-optimized Tb3Ag5O12 structure.

POSCAR file:
```
Tb3Ag5O12
1.0
-7.670 3.155 7.691
8.607 -5.205 5.173
3.846 9.132 -5.455
O Ag Tb
48 20 12
Direct
0.924 0.088 0.636 O
0.452 0.788 0.864 O
0.912 0.076 0.864 O
0.548 0.212 0.136 O
0.864 0.576 0.912 O
0.576 0.712 0.664 O
0.952 0.588 0.164 O
0.636 0.588 0.924 O
0.212 0.664 0.076 O
0.924 0.836 0.788 O
0.412 0.048 0.336 O
0.424 0.136 0.588 O
0.912 0.836 0.548 O
0.588 0.952 0.664 O
0.136 0.712 0.548 O
0.664 0.212 0.576 O
0.588 0.636 0.424 O
0.788 0.452 0.364 O
0.788 0.336 0.924 O
0.412 0.364 0.576 O
0.576 0.864 0.412 O
0.088 0.924 0.136 O
0.164 0.088 0.952 O
0.836 0.924 0.288 O
0.088 0.164 0.452 O
0.048 0.636 0.712 O
0.076 0.164 0.212 O
0.076 0.912 0.364 O
0.288 0.424 0.836 O
0.364 0.952 0.788 O
0.164 0.076 0.712 O
0.136 0.424 0.088 O
0.952 0.364 0.288 O
0.836 0.912 0.048 O
0.336 0.788 0.424 O
0.364 0.412 0.076 O
0.452 0.664 0.088 O
0.424 0.288 0.336 O
0.048 0.412 0.836 O
0.288 0.864 0.952 O
0.336 0.548 0.412 O
0.636 0.048 0.212 O
0.212 0.548 0.636 O
0.712 0.576 0.164 O
0.664 0.452 0.588 O
0.548 0.336 0.912 O
0.864 0.288 0.452 O
0.712 0.136 0.048 O
0.875 0.250 0.625 Ag
0.375 0.250 0.125 Ag
0.125 0.375 0.250 Ag
0.000 0.000 0.000 Ag
0.125 0.750 0.375 Ag
0.875 0.625 0.750 Ag
0.750 0.125 0.875 Ag
0.625 0.875 0.250 Ag
0.000 0.500 0.000 Ag
0.500 0.500 0.500 Ag
0.625 0.750 0.875 Ag
0.250 0.375 0.625 Ag
0.000 0.500 0.500 Ag
0.750 0.625 0.375 Ag
0.500 0.000 0.000 Ag
0.250 0.875 0.125 Ag
0.500 0.000 0.500 Ag
0.500 0.500 0.000 Ag
0.000 0.000 0.500 Ag
0.375 0.125 0.750 Ag
0.375 0.750 0.625 Tb
0.250 0.625 0.875 Tb
0.625 0.375 0.750 Tb
0.750 0.375 0.125 Tb
0.875 0.125 0.250 Tb
0.125 0.875 0.750 Tb
0.625 0.250 0.375 Tb
0.375 0.625 0.250 Tb
0.250 0.125 0.375 Tb
0.125 0.250 0.875 Tb
0.875 0.750 0.125 Tb
0.750 0.875 0.625 Tb
```

## Properties
Uncorrected formation energy ... -1.1499 eV per atom
SG ... No. 230

Entry 9:
A plane-wave DFT calculation with GGA-PBE was carried out for a geometry-optimized TlCr2Pb structure.

POSCAR file:
```
TlCr2Pb
1.0
5.018 0.000 0.000
0.000 5.018 0.000
0.000 0.000 3.438
Cr Tl Pb
2 1 1
Direct
0.500 0.500 0.000 Cr
0.000 0.000 0.000 Cr
0.000 0.500 0.500 Tl
0.500 0.000 0.500 Pb
```

## Properties
Distance to the lowest polymorph of the same formula ... 236.3 meV/atom
Formation energy from the elements ... 653 meV per atom
SG ... No. 123

Entry 10:
A plane-wave DFT calculation with GGA-PBE was carried out for a geometry-optimized PmHo2Tm structure.

POSCAR file:
```
PmHo2Tm
1.0
5.655 0.000 0.000
2.828 4.898 0.000
2.828 1.633 4.618
Ho Pm Tm
2 1 1
Direct
0.750 0.750 0.750 Ho
0.250 0.250 0.250 Ho
0.000 0.000 0.000 Pm
0.500 0.500 0.500 Tm
```

## Properties
Distance to the lowest polymorph of the same formula ... 131.0 meV/atom
Formation energy from the elements ... 141 meV per atom
SG ... No. 225

Entry 11:
A plane-wave DFT calculation with GGA-PBE was carried out for a geometry-optimized Sm6Cu5Pd structure.

POSCAR file:
```
Sm6Cu5Pd
1.0
-4.521 -1.804 1.267
0.656 -5.092 -4.910
5.516 -3.606 4.476
Sm Cu Pd
6 5 1
Direct
0.834 0.251 0.667 Sm
0.834 0.749 0.667 Sm
0.500 0.749 0.000 Sm
0.166 0.251 0.333 Sm
0.500 0.251 0.000 Sm
0.166 0.749 0.333 Sm
0.669 0.000 0.343 Cu
0.331 0.000 0.657 Cu
0.336 0.500 0.669 Cu
0.664 0.500 0.331 Cu
0.000 0.500 0.000 Cu
0.000 0.000 0.000 Pd
```

## Properties
Formation energy from the elements ... -280 meV per atom
SG ... No. 10

Entry 12:
A plane-wave DFT calculation with GGA-PBE was carried out for a geometry-optimized Pr8GaNi2 structure.

POSCAR file:
```
Pr8GaNi2
1.0
5.541 0.092 -0.907
-1.879 7.254 -3.233
0.110 -0.258 8.156
Pr Ga Ni
8 1 2
Direct
0.000 0.242 0.764 Pr
0.569 0.085 0.336 Pr
0.569 0.336 0.085 Pr
0.429 0.672 0.921 Pr
0.429 0.921 0.672 Pr
0.813 0.618 0.618 Pr
0.000 0.764 0.242 Pr
0.186 0.388 0.388 Pr
0.006 0.002 0.002 Ga
0.499 0.705 0.302 Ni
0.499 0.302 0.705 Ni
```

## Properties
Distance to the lowest polymorph of the same formula ... 84.1 meV/atom
Formation energy from the elements ... -95 meV per atom
SG ... No. 8

Entry 13:
A plane-wave DFT calculation with GGA-PBE was carried out for a geometry-optimized Nd2DyMnS5 structure.

POSCAR file:
```
Nd2DyMnS5
1.0
3.929 0.000 0.000
-1.964 8.297 0.000
0.000 0.000 11.991
S Dy Mn Nd
10 2 2 4
Direct
0.493 0.987 0.754 S
0.699 0.399 0.184 S
0.312 0.625 0.361 S
0.507 0.013 0.254 S
0.653 0.306 0.516 S
0.301 0.601 0.684 S
0.017 0.035 0.022 S
0.983 0.965 0.522 S
0.347 0.694 0.016 S
0.688 0.375 0.861 S
0.816 0.631 0.525 Dy
0.184 0.369 0.025 Dy
0.450 0.899 0.428 Mn
0.550 0.101 0.928 Mn
0.878 0.755 0.843 Nd
0.122 0.245 0.343 Nd
0.882 0.763 0.192 Nd
0.118 0.237 0.692 Nd
```

## Properties
Uncorrected formation energy ... -1.7222 eV per atom
SG ... No. 36

Entry 14:
A plane-wave DFT calculation with GGA-PBE was carried out for a geometry-optimized Ga3HgBr3 structure.

POSCAR file:
```
Ga3HgBr3
1.0
8.554 0.000 0.000
0.000 8.554 0.000
0.000 0.000 8.554
Br Ga Hg
6 6 2
Direct
0.250 0.500 0.000 Br
0.000 0.250 0.500 Br
0.000 0.750 0.500 Br
0.500 0.000 0.750 Br
0.750 0.500 0.000 Br
0.500 0.000 0.250 Br
0.500 0.250 0.000 Ga
0.750 0.000 0.500 Ga
0.000 0.500 0.750 Ga
0.500 0.750 0.000 Ga
0.000 0.500 0.250 Ga
0.250 0.000 0.500 Ga
0.500 0.500 0.500 Hg
0.000 0.000 0.000 Hg
```

## Properties
Uncorrected formation energy ... -0.3641 eV per atom
Distance to the lowest polymorph of the same formula ... 47.7 meV/atom
SG ... No. 223

Entry 15:
A plane-wave DFT calculation with GGA-PBE was carried out for a geometry-optimized ZrHI3 structure.

POSCAR file:
```
ZrHI3
1.0
5.763 0.000 0.000
0.000 5.763 0.000
0.000 0.000 5.763
I Zr H
3 1 1
Direct
0.000 0.500 0.000 I
0.000 0.000 0.500 I
0.500 0.000 0.000 I
0.000 0.000 0.000 Zr
0.500 0.500 0.500 H
```

## Properties
Distance to the lowest polymorph of the same formula ... 664.4 meV/atom
SG ... No. 221

Entry 16:
A plane-wave DFT calculation with GGA-PBE was carried out for a geometry-optimized DyEr3Th3 structure.

POSCAR file:
```
DyEr3Th3
1.0
-4.601 -3.528 0.370
1.449 -2.821 -8.869
4.095 -4.592 7.130
Er Th Dy
6 6 2
Direct
0.250 0.092 0.471 Er
0.250 0.380 0.909 Er
0.750 0.471 0.379 Er
0.250 0.529 0.621 Er
0.750 0.620 0.091 Er
0.750 0.908 0.529 Er
0.250 0.812 0.047 Th
0.750 0.764 0.811 Th
0.250 0.953 0.764 Th
0.250 0.236 0.189 Th
0.750 0.188 0.953 Th
0.750 0.047 0.236 Th
0.750 0.333 0.667 Dy
0.250 0.667 0.333 Dy
```

## Properties
Distance to the lowest polymorph of the same formula ... 0.0 meV/atom
Formation energy from the elements ... 39 meV per atom
SG ... No. 11

Entry 17:
A plane-wave DFT calculation with GGA-PBE was carried out for a geometry-optimized LiHo2BiO6 structure.

POSCAR file:
```
LiHo2BiO6
1.0
5.657 0.000 0.000
2.828 4.899 0.000
2.828 1.633 5.114
O Bi Li Ho
6 1 1 2
Direct
0.124 0.419 0.755 O
0.419 0.703 0.755 O
0.225 0.941 0.234 O
0.941 0.600 0.234 O
0.600 0.225 0.234 O
0.703 0.124 0.755 O
0.320 0.320 0.040 Bi
0.783 0.783 0.650 Li
0.022 0.022 0.933 Ho
0.525 0.525 0.426 Ho
```

## Properties
Uncorrected formation energy ... -2.3774 eV per atom
SG ... No. 146

Entry 18:
A plane-wave DFT calculation with GGA-PBE was carried out for a geometry-optimized BaSr5Ca4 structure.

POSCAR file:
```
BaSr5Ca4
1.0
-1.445 -0.088 -5.790
-9.008 -4.298 2.313
2.096 10.402 2.396
Ba Ca Sr
1 4 5
Direct
0.500 0.000 0.000 Ba
0.682 0.935 0.365 Ca
0.964 0.203 0.927 Ca
0.036 0.797 0.073 Ca
0.318 0.065 0.635 Ca
0.843 0.380 0.686 Sr
0.157 0.620 0.314 Sr
0.184 0.253 0.367 Sr
0.500 0.500 0.000 Sr
0.816 0.747 0.633 Sr
```

## Properties
Distance to the lowest polymorph of the same formula ... 0.0 meV/atom
Formation energy from the elements ... 126 meV per atom
SG ... No. 12

Entry 19:
A plane-wave DFT calculation with GGA-PBE was carried out for a geometry-optimized TaTiTe2Ir structure.

POSCAR file:
```
TaTiTe2Ir
1.0
-1.318 1.559 -4.784
-1.441 -4.241 -0.985
-4.759 1.220 1.709
Te Ir Ta Ti
2 1 1 1
Direct
0.500 0.000 0.000 Te
0.000 0.000 0.500 Te
0.000 0.000 0.000 Ir
0.500 0.500 0.500 Ta
0.000 0.500 0.000 Ti
```

## Properties
Uncorrected formation energy ... 0.9729 eV per atom
SG ... No. 123